KAs3S | PBE-GGA | optimized geometry

E	-17.19	eV per cell
uncorrected formation energy	0.3965	eV per atom
polymorph energy (0 for the lowest one)	0	meV per atom
spin magnetization	0.00	Bohr magnetons per cell

Cell lengths 5.015, 5.015, 5.015 Å; angles 90.00, 90.00, 90.00 degrees
Element x y z (fractional)
S 0.000 0.000 0.000
As 0.000 0.500 0.000
As 0.000 0.000 0.500
As 0.500 0.000 0.000
K 0.500 0.500 0.500